No. 1
A plane-wave DFT calculation with PBE was carried out for a relaxed structure of ErHgPd4.

- Formation energy from the elements: -0.3169 eV/atom
- Total magnetic moment: 0.0 μB/cell
- E_tot: -4.59 eV/atom
- Fermi-level density of states: 0.33 states/eV per atom

Cell: 5.595 5.595 8.112 Å, 90.00 90.00 78.80°
Atoms (fractional coordinates):
Pd: 0.000 0.500 0.750
Pd: 0.745 0.745 0.500
Pd: 0.255 0.255 0.500
Pd: 0.255 0.255 0.000
Pd: 0.000 0.500 0.250
Pd: 0.500 0.000 0.250
Pd: 0.500 0.000 0.750
Pd: 0.745 0.745 0.000
Hg: 0.000 0.000 0.250
Hg: 0.000 0.000 0.750
Er: 0.500 0.500 0.750
Er: 0.500 0.500 0.250

No. 2
A plane-wave DFT calculation with PBE was carried out for a relaxed structure of YGeTe3.

- Total magnetic moment: 0.0 μB/cell
- E_tot: -4.74 eV/atom
- Fermi-level density of states: 0.31 states/eV per atom
- Uncorrected formation energy: -306.5 kJ/mol of formula units

Cell: 5.008 7.715 9.068 Å, 90.00 106.03 90.00°
Atoms (fractional coordinates):
Te: 0.834 0.500 0.668
Te: 0.166 0.500 0.332
Te: 0.512 0.250 0.024
Te: 0.834 0.000 0.668
Te: 0.488 0.750 0.976
Te: 0.166 0.000 0.332
Ge: 0.055 0.750 0.110
Ge: 0.945 0.250 0.890
Y: 0.691 0.250 0.382
Y: 0.309 0.750 0.618

No. 3
A plane-wave DFT calculation with PBE was carried out for a relaxed structure of LiEr3Np3S8.

- Total magnetic moment: 12.4 μB/cell
- E_tot: -7.49 eV/atom
- Fermi-level density of states: 2.09 states/eV per atom
- Uncorrected formation energy: -2400.0 kJ/mol of formula units

Cell: 7.739 7.739 7.731 Å, 120.03 90.00 120.00°
Last column: magnetic moment on the atom in μB.
Atoms (fractional coordinates):
S: 0.246 0.998 0.744  -0.06
S: 0.251 0.503 0.254  -0.06
S: 0.749 0.497 0.746  -0.06
S: 0.248 0.002 0.256  -0.06
S: 0.754 0.002 0.256  -0.06
S: 0.246 0.493 0.744  -0.06
S: 0.752 0.998 0.744  -0.06
S: 0.754 0.507 0.256  -0.06
Np: 0.000 0.500 0.000  3.86
Np: 0.500 0.500 0.000  3.86
Np: 0.000 0.000 0.000  3.87
Er: 0.500 0.000 0.500  0.06
Er: 0.500 0.500 0.500  0.06
Er: 0.000 0.500 0.500  0.06
Li: 0.000 0.000 0.500  0.00

No. 4
A plane-wave DFT calculation with PBE was carried out for a relaxed structure of MnVCr2N.

- Total magnetic moment: 1.9 μB/cell
- E_tot: -9.40 eV/atom
- Fermi-level density of states: 0.97 states/eV per atom
- Uncorrected formation energy: -111.3 kJ/mol of formula units

Cell: 3.826 3.826 3.744 Å, 90.00 90.00 90.00°
Last column: magnetic moment on the atom in μB.
Atoms (fractional coordinates):
Cr: 0.000 0.500 0.000  0.60
Cr: 0.500 0.000 0.000  0.60
V: 0.500 0.500 0.500  -0.62
Mn: 0.000 0.000 0.500  1.35
N: 0.000 0.000 0.000  -0.06

Question: Which value of Fermi-level density of states does entry 2 give?
Answer: 0.31 states/eV per atom